Here is a relaxed VAgNO2 crystal from Alexandria via LeMat-Bulk. Energies are from PBE with a Hubbard U.

a b c (Å): 4.0393 4.0393 4.0012
angles (deg): 90.00 90.00 90.00
Space group P4/mmm (No. 123)
Unique sites:
V 0.0000 0.0000 0.0000 x1
Ag 0.5000 0.5000 0.5000 x1
N 0.5000 0.5000 0.0000 x1
O 0.0000 0.5000 0.5000 x2

## Properties
Electronic total energy in eV per atom: -4.7020
Volume in A^3/atom: 13.06